1.
# BeHgTeN2

Crystalline BeHgTeN2 at its relaxed geometry (PBE-GGA, Alexandria).

abc: 4.140 4.140 6.695
angles: 90.00 90.00 90.00
Atoms (fractional coordinates):
Be: 0.000 0.000 0.000
Hg: 0.500 0.500 0.500
Te: 0.500 0.500 0.000
N: 0.000 0.500 0.500
N: 0.500 0.000 0.500

Results
- Distance to the lowest polymorph of the same formula: 697 meV/atom
- Space-group type: P4/mmm
- Raw formation energy: 2.061 eV per atom



2.
# ErHgOsO6

Crystalline ErHgOsO6 at its relaxed geometry (PBE-GGA, Alexandria).

abc: 5.538 5.538 4.805
angles: 90.00 90.00 120.00
Atoms (fractional coordinates):
Er: 0.000 0.000 0.000
Hg: 0.333 0.667 0.500
Os: 0.667 0.333 0.000
O: 0.375 0.060 0.774
O: 0.375 0.315 0.226
O: 0.685 0.060 0.226
O: 0.685 0.625 0.774
O: 0.940 0.315 0.774
O: 0.940 0.625 0.226

Results
- Space-group type: P312
- Raw formation energy: -1.450 eV per atom



3.
# CoTePd

Crystalline CoTePd at its relaxed geometry (PBE-GGA, Alexandria).

abc: 3.338 3.338 8.843
angles: 90.00 90.00 90.00
Atoms (fractional coordinates):
Co: 0.000 0.000 0.000
Co: 0.500 0.500 0.500
Te: 0.000 0.000 0.374
Te: 0.500 0.500 0.874
Pd: 0.000 0.000 0.679
Pd: 0.500 0.500 0.179

Results
- Space-group type: I4mm
- Raw formation energy: 0.131 eV per atom



4.
# FeSiP2

Crystalline FeSiP2 at its relaxed geometry (PBE-GGA, Alexandria).

abc: 2.820 4.196 4.370
angles: 90.00 90.00 90.00
Atoms (fractional coordinates):
Fe: 0.000 0.000 0.000
Si: 0.000 0.500 0.500
P: 0.500 0.000 0.500
P: 0.500 0.500 0.000

Results
- Space-group type: Pmmm
- Raw formation energy: 0.406 eV per atom



5.
# Li3TlBi

Crystalline Li3TlBi at its relaxed geometry (PBE-GGA, Alexandria).

abc: 11.200 4.934 8.189
angles: 90.00 90.00 90.00
Atoms (fractional coordinates):
Li: 0.019 0.250 0.102
Li: 0.113 0.250 0.752
Li: 0.214 0.250 0.354
Li: 0.286 0.750 0.854
Li: 0.387 0.750 0.252
Li: 0.481 0.750 0.602
Li: 0.519 0.250 0.398
Li: 0.613 0.250 0.748
Li: 0.714 0.250 0.146
Li: 0.786 0.750 0.646
Li: 0.887 0.750 0.248
Li: 0.981 0.750 0.898
Tl: 0.091 0.750 0.563
Tl: 0.409 0.250 0.063
Tl: 0.591 0.750 0.937
Tl: 0.909 0.250 0.437
Bi: 0.143 0.750 0.168
Bi: 0.357 0.250 0.668
Bi: 0.643 0.750 0.332
Bi: 0.857 0.250 0.832

Results
- Distance to the lowest polymorph of the same formula: 28 meV/atom
- ΔH_f (0 K): -0.32 eV/atom
- Space-group type: Pnma



6.
# AlRu

Crystalline AlRu at its relaxed geometry (PBE-GGA, Alexandria).

abc: 3.008 4.111 8.995
angles: 90.00 90.00 90.00
Atoms (fractional coordinates):
Al: 0.000 0.250 0.116
Al: 0.000 0.750 0.884
Al: 0.500 0.250 0.384
Al: 0.500 0.750 0.616
Ru: 0.000 0.250 0.628
Ru: 0.000 0.750 0.372
Ru: 0.500 0.250 0.872
Ru: 0.500 0.750 0.128

Results
- ΔH_f (0 K): -0.51 eV/atom
- Space-group type: Imma